1.
Entry from Alexandria via LeMat-Bulk: a relaxed Th2TeBr2 crystal (PBE).

Structure (POSCAR):
```
Th2TeBr2
1.0
3.762 0.000 0.877
1.779 3.315 0.877
-0.997 -0.597 12.790
Th Te Br
2 1 2
Direct
0.607 0.607 0.180
0.393 0.393 0.820
0.000 0.000 0.000
0.218 0.218 0.346
0.782 0.782 0.654
```

## Properties
* symmetry: No. 166
* formation energy (no corrections): -1249 meV/atom

---

2.
Entry from Alexandria via LeMat-Bulk: a relaxed MgAlTe2 crystal (PBE).

Structure (POSCAR):
```
MgAlTe2
1.0
-2.744 0.626 -1.758
-0.648 -2.747 1.744
-3.568 5.657 7.585
Al Mg Te
1 1 2
Direct
0.000 0.000 0.518
0.500 0.500 0.726
0.000 0.000 0.940
0.500 0.500 0.317
```

## Properties
* symmetry: No. 35
* formation energy (no corrections): -35 meV/atom

---

3.
Entry from Alexandria via LeMat-Bulk: a relaxed ScAlP crystal (PBE).

Structure (POSCAR):
```
ScAlP
1.0
5.257 -0.009 0.000
3.174 4.190 0.000
-4.216 -2.090 2.344
Sc P Al
1 1 1
Direct
0.675 0.675 0.000
0.354 0.354 0.000
0.971 0.971 0.000
```

## Properties
* symmetry: No. 107
* energy relative to the elements: -0.4994 eV/atom

---

4.
Entry from Alexandria via LeMat-Bulk: a relaxed SiNiIrBr2 crystal (PBE).

Structure (POSCAR):
```
SiNiIrBr2
1.0
-2.809 2.718 3.236
1.832 -2.310 3.531
3.711 3.445 0.328
Ni Si Ir Br
1 1 1 2
Direct
0.500 0.500 0.500
0.000 0.000 0.000
0.000 0.500 0.000
0.000 0.000 0.500
0.500 0.000 0.000
```

## Properties
* symmetry: No. 123
* formation energy (no corrections): 1132 meV/atom

---

5.
Entry from Alexandria via LeMat-Bulk: a relaxed Sr3LiPd crystal (PBE).

Structure (POSCAR):
```
Sr3LiPd
1.0
5.981 0.000 0.000
0.000 5.981 0.000
0.000 0.000 5.981
Sr Pd Li
3 1 1
Direct
0.000 0.500 0.000
0.000 0.000 0.500
0.500 0.000 0.000
0.000 0.000 0.000
0.500 0.500 0.500
```

## Properties
* symmetry: No. 221
* energy relative to the elements: -0.2349 eV/atom
* energy relative to the lowest polymorph listed for this composition: 0.041 eV per atom

---

6.
Entry from Alexandria via LeMat-Bulk: a relaxed CoAg2GeB crystal (PBE).

Structure (POSCAR):
```
CoAg2GeB
1.0
-3.783 3.072 -1.172
-1.717 -0.896 3.193
2.346 3.773 2.320
Ge B Co Ag
1 1 1 2
Direct
0.000 0.000 0.000
0.000 0.500 0.000
0.500 0.500 0.500
0.000 0.000 0.500
0.500 0.000 0.000
```

## Properties
* symmetry: No. 123
* energy relative to the elements: 1.2732 eV/atom
* energy relative to the lowest polymorph listed for this composition: 0.000 eV per atom

---

7.
Entry from Alexandria via LeMat-Bulk: a relaxed PrDy4Au5 crystal (PBE).

Structure (POSCAR):
```
PrDy4Au5
1.0
-2.971 -1.097 1.704
-1.358 -1.168 -3.119
7.715 -16.508 2.822
Pr Dy Au
1 4 5
Direct
0.000 0.000 0.000
0.000 0.000 0.204
0.000 0.000 0.401
0.000 0.000 0.599
0.000 0.000 0.796
0.500 0.500 0.112
0.500 0.500 0.303
0.500 0.500 0.500
0.500 0.500 0.697
0.500 0.500 0.888
```

## Properties
* symmetry: No. 123
* energy relative to the elements: -0.8417 eV/atom